Record 1
Here is a relaxed structure of Pm3BiSe2 from Alexandria via LeMat-Bulk. Energies are from PBE.

Calculated values
The calculation puts the polymorph energy (0 for the lowest one) at 0.005 eV per atom. The calculation puts the formation energy from raw total energies at -1.259 eV/atom.

Structure (CIF):
```
data_Pm3BiSe2
_cell_length_a 11.576
_cell_length_b 8.684
_cell_length_c 7.103
_cell_angle_alpha 90.00
_cell_angle_beta 90.00
_cell_angle_gamma 90.00
_symmetry_space_group_name_H-M 'C m c m'
_symmetry_Int_Tables_number 63
_symmetry_space_group_name_Hall '-C 2c 2'
loop_
_atom_site_label
_atom_site_type_symbol
_atom_site_fract_x
_atom_site_fract_y
_atom_site_fract_z
Pm1 Pm 0.000 0.084 0.250
Pm2 Pm 0.173 0.281 0.750
Bi1 Bi 0.000 0.424 0.250
Se1 Se 0.191 0.000 0.000
```

Record 2
Here is a relaxed structure of Pm4BiSe3 from Alexandria via LeMat-Bulk. Energies are from PBE.

Calculated values
The calculation puts the formation energy from raw total energies at -1.578 eV/atom.

Structure (CIF):
```
data_Pm4BiSe3
_cell_length_a 4.295
_cell_length_b 6.085
_cell_length_c 8.619
_cell_angle_alpha 90.00
_cell_angle_beta 90.00
_cell_angle_gamma 90.00
_symmetry_space_group_name_H-M 'P m m m'
_symmetry_Int_Tables_number 47
loop_
_symmetry_equiv_pos_as_xyz
'x,y,z'
'-x,-y,-z'
'-x,-y,z'
'x,y,-z'
'x,-y,-z'
'-x,y,z'
'-x,y,-z'
'x,-y,z'
loop_
_atom_site_label
_atom_site_type_symbol
_atom_site_fract_x
_atom_site_fract_y
_atom_site_fract_z
Pm1 Pm 0.000 0.000 0.000
Pm2 Pm 0.000 0.000 0.500
Pm3 Pm 0.500 0.500 0.232
Bi1 Bi 0.000 0.500 0.500
Se1 Se 0.000 0.500 0.000
Se2 Se 0.500 0.000 0.248
```

Record 3
Here is a relaxed structure of PmBiSe3 from Alexandria via LeMat-Bulk. Energies are from PBE.

Calculated values
The calculation puts the polymorph energy (0 for the lowest one) at 0.033 eV per atom. The calculation puts the formation energy from raw total energies at -1.067 eV/atom.

Structure (CIF):
```
data_PmBiSe3
_cell_length_a 16.055
_cell_length_b 4.282
_cell_length_c 9.748
_cell_angle_alpha 90.00
_cell_angle_beta 107.03
_cell_angle_gamma 90.00
_symmetry_space_group_name_H-M 'C 1 2/m 1'
_symmetry_Int_Tables_number 12
loop_
_symmetry_equiv_pos_as_xyz
'x,y,z'
'-x,-y,-z'
'-x,y,-z'
'x,-y,z'
'x+1/2,y+1/2,z'
'-x+1/2,-y+1/2,-z'
'-x+1/2,y+1/2,-z'
'x+1/2,-y+1/2,z'
loop_
_atom_site_label
_atom_site_type_symbol
_atom_site_fract_x
_atom_site_fract_y
_atom_site_fract_z
Pm1 Pm 0.142 0.000 0.334
Bi1 Bi 0.158 0.500 0.835
Se1 Se 0.024 0.500 0.312
Se2 Se 0.145 0.000 0.023
Se3 Se 0.218 0.000 0.648
```

Record 4
Here is a relaxed structure of PmBi2Se4 from Alexandria via LeMat-Bulk. Energies are from PBE.

Calculated values
The calculation puts the formation energy from raw total energies at -0.780 eV/atom.

Structure (CIF):
```
data_PmBi2Se4
_cell_length_a 4.407
_cell_length_b 13.536
_cell_length_c 13.768
_cell_angle_alpha 90.00
_cell_angle_beta 90.00
_cell_angle_gamma 90.00
_symmetry_space_group_name_H-M 'C m c m'
_symmetry_Int_Tables_number 63
_symmetry_space_group_name_Hall '-C 2c 2'
loop_
_atom_site_label
_atom_site_type_symbol
_atom_site_fract_x
_atom_site_fract_y
_atom_site_fract_z
Pm1 Pm 0.000 0.125 0.250
Bi1 Bi 0.000 0.374 0.064
Se1 Se 0.000 0.000 0.000
Se2 Se 0.000 0.275 0.624
Se3 Se 0.000 0.480 0.250
```

Record 5
Here is a relaxed structure of Pm3BiSe3 from Alexandria via LeMat-Bulk. Energies are from PBE.

Calculated values
The calculation puts the formation energy from raw total energies at -1.506 eV/atom.

Structure (CIF):
```
data_Pm3BiSe3
_cell_length_a 8.4884
_cell_length_b 8.4884
_cell_length_c 22.0886
_cell_angle_alpha 90.00
_cell_angle_beta 90.00
_cell_angle_gamma 120.00
_symmetry_space_group_name_H-M 'R -3'
_symmetry_Int_Tables_number 148
_symmetry_space_group_name_Hall '-R 3'
loop_
_atom_site_label
_atom_site_type_symbol
_atom_site_fract_x
_atom_site_fract_y
_atom_site_fract_z
Pm1 Pm 0.0131 0.3894 0.4097
Bi1 Bi 0.0000 0.0000 0.1657
Se1 Se 0.0158 0.2817 0.6112
```

Record 6
Here is a relaxed structure of Pm2BiSe from Alexandria via LeMat-Bulk. Energies are from PBE.

Calculated values
The calculation puts the polymorph energy (0 for the lowest one) at 0.000 eV per atom. The calculation puts the formation energy from raw total energies at -1.367 eV/atom.

Structure (CIF):
```
data_Pm2BiSe
_cell_length_a 4.3900
_cell_length_b 4.3900
_cell_length_c 21.5432
_cell_angle_alpha 90.00
_cell_angle_beta 90.00
_cell_angle_gamma 120.00
_symmetry_space_group_name_H-M 'R -3 m'
_symmetry_Int_Tables_number 166
_symmetry_space_group_name_Hall '-R 3 2"'
loop_
_atom_site_label
_atom_site_type_symbol
_atom_site_fract_x
_atom_site_fract_y
_atom_site_fract_z
Pm1 Pm 0.0000 0.0000 0.2434
Bi1 Bi 0.0000 0.0000 0.0000
Se1 Se 0.0000 0.0000 0.5000
```

Record 7
Here is a relaxed structure of Pm5Bi4Se from Alexandria via LeMat-Bulk. Energies are from PBE.

Calculated values
The calculation puts the polymorph energy (0 for the lowest one) at 0.012 eV per atom. The calculation puts the formation energy from raw total energies at -1.098 eV/atom.

Structure (CIF):
```
data_Pm5Bi4Se
_cell_length_a 4.519
_cell_length_b 4.519
_cell_length_c 31.821
_cell_angle_alpha 90.00
_cell_angle_beta 90.00
_cell_angle_gamma 90.00
_symmetry_space_group_name_H-M 'I 4/m m m'
_symmetry_Int_Tables_number 139
_symmetry_space_group_name_Hall '-I 4 2'
loop_
_atom_site_label
_atom_site_type_symbol
_atom_site_fract_x
_atom_site_fract_y
_atom_site_fract_z
Pm1 Pm 0.000 0.000 0.000
Pm2 Pm 0.000 0.000 0.201
Pm3 Pm 0.000 0.000 0.405
Bi1 Bi 0.000 0.000 0.099
Bi2 Bi 0.000 0.000 0.302
Se1 Se 0.000 0.000 0.500
```

Record 8
Here is a relaxed structure of Pm3BiSe2 from Alexandria via LeMat-Bulk. Energies are from PBE.

Calculated values
The calculation puts the polymorph energy (0 for the lowest one) at 0.000 eV per atom. The calculation puts the formation energy from raw total energies at -1.264 eV/atom.

Structure (CIF):
```
data_Pm3BiSe2
_cell_length_a 4.567
_cell_length_b 14.458
_cell_length_c 10.867
_cell_angle_alpha 90.00
_cell_angle_beta 90.00
_cell_angle_gamma 90.00
_symmetry_space_group_name_H-M 'C m c m'
_symmetry_Int_Tables_number 63
_symmetry_space_group_name_Hall '-C 2c 2'
loop_
_atom_site_label
_atom_site_type_symbol
_atom_site_fract_x
_atom_site_fract_y
_atom_site_fract_z
Pm1 Pm 0.000 0.091 0.250
Pm2 Pm 0.000 0.355 0.052
Bi1 Bi 0.000 0.245 0.750
Se1 Se 0.000 0.000 0.000
Se2 Se 0.000 0.479 0.250
```

Record 9
Here is a relaxed structure of Pm4Bi3Se from Alexandria via LeMat-Bulk. Energies are from PBE.

Calculated values
The calculation puts the formation energy from raw total energies at -1.152 eV/atom.

Structure (CIF):
```
data_Pm4Bi3Se
_cell_length_a 7.773
_cell_length_b 9.011
_cell_length_c 7.771
_cell_angle_alpha 90.00
_cell_angle_beta 109.53
_cell_angle_gamma 90.00
_symmetry_space_group_name_H-M 'P 1 2/c 1'
_symmetry_Int_Tables_number 13
loop_
_symmetry_equiv_pos_as_xyz
'x,y,z'
'-x,-y,-z'
'-x,y,-z+1/2'
'x,-y,z+1/2'
loop_
_atom_site_label
_atom_site_type_symbol
_atom_site_fract_x
_atom_site_fract_y
_atom_site_fract_z
Pm1 Pm 0.241 0.120 0.001
Pm2 Pm 0.246 0.369 0.494
Bi1 Bi 0.000 0.374 0.750
Bi2 Bi 0.500 0.124 0.750
Bi3 Bi 0.500 0.375 0.250
Se1 Se 0.000 0.123 0.250
```

Record 10
Here is a relaxed structure of Pm3BiSe6 from Alexandria via LeMat-Bulk. Energies are from PBE.

Calculated values
The calculation puts the polymorph energy (0 for the lowest one) at 0.006 eV per atom. The calculation puts the formation energy from raw total energies at -1.467 eV/atom.

Structure (CIF):
```
data_Pm3BiSe6
_cell_length_a 11.987
_cell_length_b 4.267
_cell_length_c 12.129
_cell_angle_alpha 90.00
_cell_angle_beta 109.07
_cell_angle_gamma 90.00
_symmetry_space_group_name_H-M 'P 1 21/m 1'
_symmetry_Int_Tables_number 11
loop_
_symmetry_equiv_pos_as_xyz
'x,y,z'
'-x,-y,-z'
'-x,y+1/2,-z'
'x,-y+1/2,z'
loop_
_atom_site_label
_atom_site_type_symbol
_atom_site_fract_x
_atom_site_fract_y
_atom_site_fract_z
Pm1 Pm 0.076 0.250 0.166
Pm2 Pm 0.169 0.750 0.496
Pm3 Pm 0.340 0.250 0.923
Bi1 Bi 0.485 0.250 0.318
Se1 Se 0.014 0.250 0.381
Se2 Se 0.101 0.250 0.932
Se3 Se 0.240 0.750 0.282
Se4 Se 0.304 0.750 0.746
Se5 Se 0.387 0.250 0.530
Se6 Se 0.420 0.750 0.096
```

Record 11
Here is a relaxed structure of Pm3BiSe6 from Alexandria via LeMat-Bulk. Energies are from PBE.

Calculated values
The calculation puts the polymorph energy (0 for the lowest one) at 0.000 eV per atom. The calculation puts the formation energy from raw total energies at -1.473 eV/atom.

Structure (CIF):
```
data_Pm3BiSe6
_cell_length_a 11.353
_cell_length_b 14.297
_cell_length_c 7.252
_cell_angle_alpha 90.00
_cell_angle_beta 90.00
_cell_angle_gamma 90.00
_symmetry_space_group_name_H-M 'C m c 21'
_symmetry_Int_Tables_number 36
loop_
_symmetry_equiv_pos_as_xyz
'x,y,z'
'-x,-y,z+1/2'
'-x,y,z'
'x,-y,z+1/2'
'x+1/2,y+1/2,z'
'-x+1/2,-y+1/2,z+1/2'
'-x+1/2,y+1/2,z'
'x+1/2,-y+1/2,z+1/2'
loop_
_atom_site_label
_atom_site_type_symbol
_atom_site_fract_x
_atom_site_fract_y
_atom_site_fract_z
Pm1 Pm 0.000 0.094 0.000
Pm2 Pm 0.185 0.400 0.102
Bi1 Bi 0.000 0.322 0.618
Se1 Se 0.000 0.268 0.239
Se2 Se 0.000 0.493 0.863
Se3 Se 0.165 0.033 0.298
Se4 Se 0.171 0.233 0.824
```

Record 12
Here is a relaxed structure of Pm5Bi4Se from Alexandria via LeMat-Bulk. Energies are from PBE.

Calculated values
The calculation puts the polymorph energy (0 for the lowest one) at 0.000 eV per atom. The calculation puts the formation energy from raw total energies at -1.110 eV/atom.

Structure (CIF):
```
data_Pm5Bi4Se
_cell_length_a 10.071
_cell_length_b 10.071
_cell_length_c 6.396
_cell_angle_alpha 90.00
_cell_angle_beta 90.00
_cell_angle_gamma 90.00
_symmetry_space_group_name_H-M 'I 4/m'
_symmetry_Int_Tables_number 87
_symmetry_space_group_name_Hall '-I 4'
loop_
_atom_site_label
_atom_site_type_symbol
_atom_site_fract_x
_atom_site_fract_y
_atom_site_fract_z
Pm1 Pm 0.000 0.000 0.000
Pm2 Pm 0.099 0.290 0.500
Bi1 Bi 0.096 0.302 0.000
Se1 Se 0.000 0.000 0.500
```